# LiCo2Cl8

A geometry-optimized LiCo2Cl8 structure (PBE, Alexandria).

Output
Formation energy from raw total energies = -675 meV per atom
Uncorrected energy = -3.4839 eV/atom

Unit cell a=6.1171 b=7.7463 c=7.7463 alpha=73.84 beta=87.83 gamma=87.83
Closest atoms and distances in Å follow each position.
Fractional positions:
Cl 0.7079 0.1715 0.1715  1 Co 2.15
Cl 0.7736 0.7159 0.0834  1 Co 2.17
Cl 0.2264 0.2841 0.9166  1 Co 2.17
Cl 0.7543 0.6500 0.6500  1 Co 2.12
Cl 0.2264 0.9166 0.2841  1 Co 2.17
Cl 0.2457 0.3500 0.3500  1 Co 2.12
Cl 0.7736 0.0834 0.7159  1 Co 2.17
Cl 0.2921 0.8285 0.8285  1 Co 2.15
Li 0.0000 0.0000 0.0000  6 Cl 2.56-2.71
Co 0.6443 0.8152 0.8152  4 Cl 2.12-2.17
Co 0.3557 0.1848 0.1848  4 Cl 2.12-2.17